Entry 1:
Here is a relaxed LiAc2Sb3Pt4 crystal from Alexandria. Energies are from PBE.

Results
calculated total energy = -0.411 Ry/atom
volume = 23.06 A^3/atom

a = 4.6649 Å, b = 4.6649 Å, c = 10.5977 Å
α = 90.00°, β = 90.00°, γ = 90.00°
Last column: nearest neighbours and their distance in Å.
Space group P-4m2 (No. 115)
Asymmetric unit:
Li: 0.0000 0.0000 0.0000 [1 per cell]  4 Pt 2.66
Ac: 0.0000 0.5000 0.7434 [2 per cell]  8 Pt 3.48-3.60, 6 Sb 3.51-3.58, 2 Li 3.58
Sb: 0.0000 0.5000 0.3690 [2 per cell]  5 Pt 2.63-2.71
Sb: 0.5000 0.5000 0.0000 [1 per cell]  4 Pt 2.66
Pt: 0.0000 0.0000 0.5000 [1 per cell]  4 Sb 2.71
Pt: 0.0000 0.5000 0.1208 [2 per cell]  3 Sb 2.63-2.66, 2 Li 2.66
Pt: 0.5000 0.5000 0.5000 [1 per cell]  4 Sb 2.71



Entry 2:
Here is a relaxed HfMgH2 crystal from Alexandria. Energies are from PBE.

Results
volume = 12.38 A^3/atom
E above lowest polymorph = 57.8 meV per atom

a = 4.5957 Å, b = 4.5957 Å, c = 9.3757 Å
α = 90.00°, β = 90.00°, γ = 90.00°
Last column: nearest neighbours and their distance in Å.
Space group I-42d (No. 122)
Asymmetric unit:
Hf: 0.0000 0.0000 0.0000 [4 per cell]  4 H 1.95
Mg: 0.0000 0.0000 0.5000 [4 per cell]  4 H 2.06
H: 0.2280 0.2500 0.1250 [8 per cell]  2 Hf 1.95, 2 Mg 2.06



Entry 3:
Here is a relaxed BaLiTiF6 crystal from Alexandria. Energies are from PBE.

Results
calculated total energy = -0.440 Ry/atom
volume = 15.75 A^3/atom

a = 5.4118 Å, b = 5.4118 Å, c = 11.1785 Å
α = 90.00°, β = 90.00°, γ = 120.00°
Last column: nearest neighbours and their distance in Å.
Space group P-31c (No. 163)
Asymmetric unit:
Ba: 0.0000 0.0000 0.0000 [2 per cell]  6 F 2.64
Li: 0.3333 0.6667 0.2500 [2 per cell]  6 F 2.07
Ti: 0.3333 0.6667 0.7500 [2 per cell]  6 F 2.00
F: 0.0109 0.3829 0.6497 [12 per cell]  1 Ti 2.00, 1 Li 2.07



Entry 4:
Here is a relaxed AlInAu3 crystal from Alexandria. Energies are from PBE.

Results
volume = 19.55 A^3/atom
E above lowest polymorph = 0.0 meV per atom

a = 4.3644 Å, b = 5.5592 Å, c = 8.0752 Å
α = 93.90°, β = 90.06°, γ = 90.42°
Last column: nearest neighbours and their distance in Å.
Space group P-1 (No. 2)
Asymmetric unit:
Al: 0.2498 0.1732 0.4101 [2 per cell]  8 Au 2.65-2.91
In: 0.2480 0.5278 0.8403 [2 per cell]  7 Au 2.85-3.16
Au: 0.2488 0.6509 0.4196 [2 per cell]  4 Al 2.65-2.91
Au: 0.2502 0.1545 0.0794 [2 per cell]  1 Al 2.67, 3 In 2.85-2.93, 3 Au 2.94-2.96
Au: 0.2519 0.0353 0.7185 [2 per cell]  3 Al 2.65-2.66, 1 In 2.85, 3 Au 2.94-2.96



Entry 5:
Here is a relaxed Ta2FeHW crystal from Alexandria. Energies are from PBE.

Results
calculated total energy = -0.719 Ry/atom
volume = 13.11 A^3/atom

a = 4.4500 Å, b = 4.4500 Å, c = 3.3101 Å
α = 90.00°, β = 90.00°, γ = 90.00°
Last column: nearest neighbours and their distance in Å.
Space group P4/mmm (No. 123)
Asymmetric unit:
Ta: 0.0000 0.5000 0.0000 [2 per cell]  2 H 2.22
Fe: 0.0000 0.0000 0.5000 [1 per cell]  2 H 1.66
H: 0.0000 0.0000 0.0000 [1 per cell]  2 Fe 1.66
W: 0.5000 0.5000 0.5000 [1 per cell]  8 Ta 2.77



Entry 6:
Here is a relaxed ScInF2 crystal from Alexandria. Energies are from PBE.

Results
volume = 22.16 A^3/atom
E above lowest polymorph = 76.4 meV per atom

a = 5.5230 Å, b = 5.5230 Å, c = 11.6241 Å
α = 90.00°, β = 90.00°, γ = 90.00°
Last column: nearest neighbours and their distance in Å.
Space group I4_1/amd (No. 141, origin choice 2)
Asymmetric unit:
Sc: 0.0000 0.2500 0.3750 [4 per cell]  4 F 2.00
In: 0.0000 0.2500 0.8750 [4 per cell]  8 F 3.41
F: 0.0000 0.0000 0.5000 [8 per cell]  2 Sc 2.00